No. 1
Material: CrGe2Pb
Method: DFT, GGA-PBE
State: relaxed

Cell lengths 4.7112, 4.7112, 17.1039 Å; angles 90.00, 90.00, 90.00 degrees
With the nearest neighbours (Å) after each atom.
Space group I-42d (No. 122)
Inequivalent atoms, fractional coordinates:
Cr 0.0000 0.0000 0.0000  4 Ge 2.52
Ge 0.1300 0.2500 0.1250  2 Cr 2.52, 2 Ge 2.65
Pb 0.0000 0.0000 0.5000  4 Ge 3.00, 4 Cr 3.33

Results
Fermi-level density of states: 11.36 states/eV per cell
Energy of formation: 0.4197 eV per atom

No. 2
Material: TiAsCBr2
Method: DFT, GGA-PBE
State: relaxed

Cell lengths 4.9762, 4.9762, 5.1247 Å; angles 90.00, 90.00, 90.00 degrees
With the nearest neighbours (Å) after each atom.
Space group P4/mmm (No. 123)
Inequivalent atoms, fractional coordinates:
Ti 0.0000 0.0000 0.0000  4 Br 2.49, 2 As 2.56
As 0.0000 0.0000 0.5000  2 Ti 2.56
C 0.5000 0.5000 0.5000  4 As 3.52, 8 Br 3.57
Br 0.0000 0.5000 0.0000  2 Ti 2.49

Results
Fermi-level density of states: 6.86 states/eV per cell
DFT total energy: -19.6 eV/cell

No. 3
Material: ZnTePS
Method: DFT, GGA-PBE
State: relaxed

Cell lengths 4.2469, 4.3619, 5.7877 Å; angles 90.00, 107.35, 90.00 degrees
With the nearest neighbours (Å) after each atom.
Space group Pm (No. 6)
Inequivalent atoms, fractional coordinates:
Zn 0.0000 0.0000 0.0000  2 P 2.44, 2 S 2.46
Te 0.5061 0.5000 0.5862  1 S 2.51, 2 P 2.55
P 0.4126 0.0000 0.7830  2 Zn 2.44, 2 Te 2.55
S 0.0346 0.5000 0.2009  2 Zn 2.46, 1 Te 2.51

Results
Fermi-level density of states: 0.47 states/eV per cell
DFT total energy: -13.9 eV/cell

No. 4
Material: Sc6Ga2Ir
Method: DFT, GGA-PBE
State: relaxed

Cell lengths 4.5956, 6.5673, 13.7647 Å; angles 90.00, 90.00, 90.00 degrees
With the nearest neighbours (Å) after each atom.
Space group Immm (No. 71)
Inequivalent atoms, fractional coordinates:
Sc 0.0000 0.2371 0.0000  2 Ir 2.78, 2 Ga 2.88
Sc 0.0000 0.2566 0.3398  1 Ir 2.72, 3 Ga 2.85-2.86
Ga 0.0000 0.5000 0.1678  8 Sc 2.85-2.88
Ir 0.0000 0.5000 0.5000  8 Sc 2.72-2.78

Results
Fermi-level density of states: 15.65 states/eV per cell
Energy of formation: -0.4177 eV per atom

No. 5
Material: SrTbDy2
Method: DFT, GGA-PBE
State: relaxed

Cell lengths 3.6670, 3.6670, 36.3984 Å; angles 90.00, 90.00, 120.00 degrees
With the nearest neighbours (Å) after each atom.
Space group R3m (No. 160, hexagonal axes)
Inequivalent atoms, fractional coordinates:
Sr 0.0000 0.0000 0.0000  6 Sr 3.67, 6 Dy 3.87-3.91
Tb 0.0000 0.0000 0.1657  6 Dy 3.50-3.52, 6 Tb 3.67
Dy 0.0000 0.0000 0.5764  3 Tb 3.52, 6 Dy 3.67, 3 Sr 3.91
Dy 0.0000 0.0000 0.7558  3 Tb 3.50, 6 Dy 3.67, 3 Sr 3.87

Results
Fermi-level density of states: 16.48 states/eV per cell
Energy of formation: 0.1271 eV per atom

No. 6
Material: Nd6TlRh2
Method: DFT, GGA-PBE
State: relaxed

Cell lengths 10.8207, 5.0812, 9.4588 Å; angles 90.00, 102.99, 90.00 degrees
With the nearest neighbours (Å) after each atom.
Space group C2/m (No. 12)
Inequivalent atoms, fractional coordinates:
Nd 0.0299 0.0000 0.3478  3 Nd 3.09-3.21, 4 Rh 3.15-3.45, 1 Tl 3.23
Nd 0.1637 0.5000 0.8868  1 Rh 2.70
Nd 0.2075 0.5000 0.3343  3 Rh 2.81-3.11
Tl 0.0000 0.0000 0.0000  8 Nd 3.23-3.55
Rh 0.1239 0.5000 0.5949  2 Nd 2.70-2.81, 1 Rh 2.87

Results
Fermi-level density of states: 13.39 states/eV per cell
Energy of formation: -0.3775 eV per atom

No. 7
Material: SrLiCaAu
Method: DFT, GGA-PBE
State: relaxed

Cell lengths 7.6521, 7.6521, 7.6521 Å; angles 90.00, 90.00, 90.00 degrees
With the nearest neighbours (Å) after each atom.
Space group F-43m (No. 216)
Inequivalent atoms, fractional coordinates:
Sr 0.0000 0.0000 0.0000  4 Li 3.31, 4 Au 3.31
Li 0.2500 0.2500 0.7500  4 Ca 3.31, 4 Sr 3.31
Ca 0.0000 0.0000 0.5000  4 Li 3.31, 4 Au 3.31
Au 0.2500 0.2500 0.2500  4 Ca 3.31, 4 Sr 3.31

Results
Fermi-level density of states: 13.70 states/eV per cell
Energy of formation: -0.3704 eV per atom

No. 8
Material: SrMgIn2Pd
Method: DFT, GGA-PBE
State: relaxed

Cell lengths 6.1788, 6.1788, 5.9208 Å; angles 90.00, 90.00, 90.00 degrees
With the nearest neighbours (Å) after each atom.
Space group P4/mmm (No. 123)
Inequivalent atoms, fractional coordinates:
Sr 0.0000 0.0000 0.0000  2 Mg 2.96, 4 In 3.09
Mg 0.0000 0.0000 0.5000  2 Sr 2.96
In 0.0000 0.5000 0.0000  2 Sr 3.09
Pd 0.5000 0.5000 0.5000  8 In 4.28, 4 Mg 4.37

Results
Fermi-level density of states: 5.79 states/eV per cell
Energy of formation: 1.1698 eV per atom

No. 9
Material: Li2CaLa2Bi2
Method: DFT, GGA-PBE
State: relaxed

Cell lengths 4.9345, 4.9345, 28.5558 Å; angles 90.00, 90.00, 120.00 degrees
With the nearest neighbours (Å) after each atom.
Space group R-3m (No. 166, hexagonal axes)
Inequivalent atoms, fractional coordinates:
Li 0.0000 0.0000 0.0918  3 Bi 2.85
Ca 0.0000 0.0000 0.5000  6 Bi 3.46, 6 Li 3.56, 2 La 3.82
La 0.0000 0.0000 0.3661  3 Li 3.31, 3 Bi 3.40, 3 La 3.41
Bi 0.0000 0.0000 0.2353  3 Li 2.85

Results
Fermi-level density of states: 22.30 states/eV per cell
Energy of formation: -0.5034 eV per atom

No. 10
Material: CuBiAs2
Method: DFT, GGA-PBE
State: relaxed

Cell lengths 3.9339, 3.9339, 19.0568 Å; angles 90.00, 90.00, 120.00 degrees
With the nearest neighbours (Å) after each atom.
Space group R-3m (No. 166, hexagonal axes)
Inequivalent atoms, fractional coordinates:
Cu 0.0000 0.0000 0.0000  6 As 2.56
Bi 0.0000 0.0000 0.5000  6 As 3.02
As 0.0000 0.0000 0.2710  3 Cu 2.56

Results
Fermi-level density of states: 7.66 states/eV per cell
Energy of formation: 0.1219 eV per atom

No. 11
Material: Ga2Ni21B6
Method: DFT, GGA-PBE
State: relaxed

Cell lengths 10.4824, 10.4824, 10.4824 Å; angles 90.00, 90.00, 90.00 degrees
With the nearest neighbours (Å) after each atom.
Space group Fm-3m (No. 225)
Inequivalent atoms, fractional coordinates:
Ga 0.2500 0.2500 0.2500  4 Ni 2.41
Ni 0.0000 0.0000 0.0000  12 Ni 2.50
Ni 0.0000 0.1686 0.1686  2 B 2.08
Ni 0.1175 0.1175 0.3825  3 B 2.08
B 0.0000 0.0000 0.2733  8 Ni 2.08

Results
Fermi-level density of states: 71.95 states/eV per cell
Energy of formation: -0.3040 eV per atom

No. 12
Material: Ce6GaS5
Method: DFT, GGA-PBE
State: relaxed

Cell lengths 7.0430, 12.1979, 7.0397 Å; angles 90.00, 109.49, 90.00 degrees
With the nearest neighbours (Å) after each atom.
Space group C2/m (No. 12)
Inequivalent atoms, fractional coordinates:
Ce 0.2432 0.0000 0.2544  5 S 2.81-2.87, 1 Ga 2.94
Ce 0.2441 0.1708 0.7448  5 S 2.84-2.88, 1 Ga 2.94
Ga 0.0000 0.5000 0.0000  6 Ce 2.94
S 0.0000 0.0000 0.5000  6 Ce 2.81-2.88
S 0.0000 0.1670 0.0000  6 Ce 2.87
S 0.0000 0.3367 0.5000  6 Ce 2.84-2.88

Results
Fermi-level density of states: 57.57 states/eV per cell
DFT total energy: -160.3 eV/cell

No. 13
Material: SrSc2Ag
Method: DFT, GGA-PBE
State: relaxed

Cell lengths 7.5430, 7.5430, 7.5430 Å; angles 90.00, 90.00, 90.00 degrees
With the nearest neighbours (Å) after each atom.
Space group F-43m (No. 216)
Inequivalent atoms, fractional coordinates:
Sr 0.0000 0.0000 0.0000  4 Sc 3.27, 4 Ag 3.27
Sc 0.0000 0.0000 0.5000  4 Sc 3.27, 4 Ag 3.27
Sc 0.2500 0.2500 0.2500  4 Sc 3.27, 4 Sr 3.27
Ag 0.2500 0.2500 0.7500  4 Sc 3.27, 4 Sr 3.27

Results
Fermi-level density of states: 24.09 states/eV per cell
Energy of formation: 0.2606 eV per atom

No. 14
Material: SrSm2SiN4
Method: DFT, GGA-PBE
State: relaxed

Cell lengths 3.4316, 12.1679, 11.9057 Å; angles 90.00, 90.00, 90.00 degrees
With the nearest neighbours (Å) after each atom.
Space group Cmcm (No. 63)
Inequivalent atoms, fractional coordinates:
Sr 0.0000 0.0931 0.2500  8 N 2.85-3.18, 2 Si 3.19
Sm 0.0000 0.3685 0.0402  6 N 2.39-2.56
Si 0.0000 0.1855 0.7500  2 N 1.72
N 0.0000 0.0000 0.0000  4 Sm 2.39
N 0.0000 0.2622 0.6285  1 Si 1.72
N 0.0000 0.3966 0.2500  2 Si 1.99

Results
DFT total energy: -237.8 eV/cell

No. 15
Material: Ba3Tl4Ag2
Method: DFT, GGA-PBE
State: relaxed

Cell lengths 12.5040, 5.1721, 10.1414 Å; angles 90.00, 112.22, 90.00 degrees
With the nearest neighbours (Å) after each atom.
Space group C2/m (No. 12)
Inequivalent atoms, fractional coordinates:
Ba 0.0000 0.0000 0.0000  8 Tl 3.53-3.79, 4 Ag 3.61
Ba 0.1802 0.5000 0.6470  4 Ag 3.58-3.86, 7 Tl 3.62-3.84
Tl 0.0245 0.0000 0.3588  2 Ag 2.99, 1 Tl 3.15
Tl 0.2382 0.5000 0.0813  1 Ag 3.05, 2 Tl 3.14
Ag 0.0954 0.5000 0.2677  3 Tl 2.99-3.05

Results
Fermi-level density of states: 14.37 states/eV per cell
Energy of formation: -0.3296 eV per atom

No. 16
Material: In2IBr
Method: DFT, GGA-PBE
State: relaxed

Cell lengths 4.6911, 4.6911, 25.2274 Å; angles 90.00, 90.00, 120.00 degrees
With the nearest neighbours (Å) after each atom.
Space group R3m (No. 160, hexagonal axes)
Inequivalent atoms, fractional coordinates:
In 0.0000 0.0000 0.0000  3 Br 3.34, 3 I 3.49
In 0.0000 0.0000 0.1770  3 Br 3.36, 3 I 3.53
I 0.0000 0.0000 0.4209  6 In 3.49-3.53
Br 0.0000 0.0000 0.5894  6 In 3.34-3.36

Results
Fermi-level density of states: 0.00 states/eV per cell
DFT total energy: -32.5 eV/cell

No. 17
Material: CsLa2W2N6
Method: DFT, GGA-PBE
State: relaxed

Cell lengths 12.0436, 6.9818, 7.2912 Å; angles 90.00, 122.21, 90.00 degrees
With the nearest neighbours (Å) after each atom.
Space group C2/m (No. 12)
Inequivalent atoms, fractional coordinates:
Cs 0.0000 0.0000 0.0000  8 N 3.51-3.78, 2 W 3.87
La 0.1786 0.5000 0.2844  4 N 2.40-2.59
W 0.1202 0.5000 0.6896  3 N 1.84-1.87
N 0.0741 0.5000 0.8967  1 W 1.87
N 0.1935 0.2883 0.6441  1 W 1.84

Results
Fermi-level density of states: 8.63 states/eV per cell
DFT total energy: -186.3 eV/cell

No. 18
Material: MnW
Method: DFT, GGA-PBE
State: relaxed

Cell lengths 3.0858, 4.2302, 8.4981 Å; angles 90.00, 90.00, 90.00 degrees
With the nearest neighbours (Å) after each atom.
Space group Imma (No. 74)
Inequivalent atoms, fractional coordinates:
Mn 0.0000 0.2500 0.1241  6 W 2.60-2.62, 2 Mn 2.64
W 0.0000 0.2500 0.6225  6 Mn 2.60-2.62, 2 W 2.66

Results
Fermi-level density of states: 8.35 states/eV per cell
Energy of formation: 0.1479 eV per atom

No. 19
Material: TaCdCo
Method: DFT, GGA-PBE
State: relaxed

Cell lengths 6.1674, 6.1674, 6.1674 Å; angles 90.00, 90.00, 90.00 degrees
With the nearest neighbours (Å) after each atom.
Space group F-43m (No. 216)
Inequivalent atoms, fractional coordinates:
Ta 0.0000 0.0000 0.0000  4 Co 2.67, 4 Cd 2.67
Cd 0.2500 0.2500 0.2500  4 Ta 2.67
Co 0.2500 0.2500 0.7500  4 Ta 2.67

Results
Fermi-level density of states: 14.64 states/eV per cell
Energy of formation: 1.0067 eV per atom

No. 20
Material: Ho3PuH
Method: DFT, GGA-PBE
State: relaxed

Cell lengths 4.9099, 4.9099, 4.9099 Å; angles 90.00, 90.00, 90.00 degrees
With the nearest neighbours (Å) after each atom.
Space group Pm-3m (No. 221)
Inequivalent atoms, fractional coordinates:
Ho 0.0000 0.0000 0.5000  2 H 2.45
Pu 0.5000 0.5000 0.5000  12 Ho 3.47
H 0.0000 0.0000 0.0000  6 Ho 2.45

Results
Fermi-level density of states: 15.62 states/eV per cell
DFT total energy: -31.8 eV/cell

No. 21
Material: PmYAl
Method: DFT, GGA-PBE
State: relaxed

Cell lengths 3.4870, 3.4870, 13.7152 Å; angles 90.00, 90.00, 90.00 degrees
With the nearest neighbours (Å) after each atom.
Space group I4mm (No. 107)
Inequivalent atoms, fractional coordinates:
Pm 0.0000 0.0000 0.0000  4 Al 3.22, 4 Pm 3.49
Y 0.0000 0.0000 0.2933  4 Al 3.15, 4 Y 3.49
Al 0.0000 0.0000 0.6509  4 Y 3.15, 4 Pm 3.22, 4 Al 3.49

Results
Fermi-level density of states: 4.04 states/eV per cell
Energy of formation: -0.2408 eV per atom

No. 22
Material: Mg2AlV
Method: DFT, GGA-PBE
State: relaxed

Cell lengths 2.8902, 2.8902, 31.0819 Å; angles 90.00, 90.00, 120.00 degrees
With the nearest neighbours (Å) after each atom.
Space group R-3m (No. 166, hexagonal axes)
Inequivalent atoms, fractional coordinates:
Mg 0.0000 0.0000 0.0881  1 V 2.74, 6 Mg 2.89, 3 Al 2.96
Al 0.0000 0.0000 0.5000  6 Al 2.89, 6 Mg 2.96
V 0.0000 0.0000 0.0000  2 Mg 2.74, 6 V 2.89

Results
Fermi-level density of states: 9.09 states/eV per cell
Energy of formation: 0.4788 eV per atom